Record 1
A plane-wave DFT calculation with GGA-PBE was carried out for a relaxed structure of TaHIrOs2.

DOS at the Fermi energy: 1.7 states/eV/f.u.
ρ: 20.05 Mg/m³
Crystal system: tetragonal
Total magnetic moment: 0.000 Bohr magnetons per cell
E above lowest polymorph: 11 meV per atom
DFT total energy: -9.4963 eV/atom

Geometry as POSCAR:
```
TaHIrOs2
1.0
-1.145 2.999 -2.265
1.448 -1.833 -3.159
-3.573 -1.809 -0.588
H Ir Os Ta
1 1 2 1
Direct
0.000 0.000 0.000 H
0.500 0.500 0.500 Ir
0.000 0.500 0.000 Os
0.500 0.000 0.000 Os
0.000 0.000 0.500 Ta
```

=====

Record 2
A plane-wave DFT calculation with GGA-PBE was carried out for a relaxed structure of Nd4Y2Mg.

DOS at the Fermi energy: 10.1 states/eV/f.u.
Formation enthalpy at 0 K: 0.0829 eV per atom
ρ: 5.50 Mg/m³
Crystal system: monoclinic
Total magnetic moment: 0.000 Bohr magnetons per cell
E above lowest polymorph: 0 meV per atom
DFT total energy: -4.7162 eV/atom

Geometry as POSCAR:
```
Nd4Y2Mg
1.0
-1.297 -2.574 2.035
8.153 -2.967 1.445
-2.415 7.116 4.402
Nd Y Mg
4 2 1
Direct
0.918 0.296 0.836 Nd
0.082 0.704 0.164 Nd
0.634 0.398 0.268 Nd
0.366 0.602 0.732 Nd
0.782 0.860 0.564 Y
0.218 0.140 0.436 Y
0.000 0.000 0.000 Mg
```

=====

Record 3
A plane-wave DFT calculation with GGA-PBE was carried out for a relaxed structure of NaY2GeI.

DOS at the Fermi energy: 4.9 states/eV/f.u.
Uncorrected formation energy: 0.726 eV/atom
ρ: 4.03 Mg/m³
Crystal system: tetragonal
Total magnetic moment: 0.000 Bohr magnetons per cell
E above lowest polymorph: 328 meV per atom
DFT total energy: -3.3568 eV/atom

Geometry as POSCAR:
```
NaY2GeI
1.0
-1.673 -5.296 -1.180
4.179 -0.681 -2.866
2.812 -1.902 4.551
I Y Ge Na
1 2 1 1
Direct
0.000 0.500 0.000 I
0.000 0.000 0.500 Y
0.500 0.000 0.000 Y
0.500 0.500 0.500 Ge
0.000 0.000 0.000 Na
```

=====

Record 4
A plane-wave DFT calculation with GGA-PBE was carried out for a relaxed structure of TlInSe2.

DOS at the Fermi energy: 2.0 states/eV/f.u.
Uncorrected formation energy: -0.324 eV/atom
ρ: 7.13 Mg/m³
Crystal system: orthorhombic
Total magnetic moment: 0.000 Bohr magnetons per cell
DFT total energy: -3.3426 eV/atom

Geometry as POSCAR:
```
TlInSe2
1.0
8.049 0.001 -0.005
6.226 5.102 0.005
-7.096 -2.669 2.706
In Se Tl
1 2 1
Direct
0.201 0.701 0.500 In
0.064 0.064 0.000 Se
0.777 0.277 0.500 Se
0.458 0.458 0.000 Tl
```

=====

Record 5
A plane-wave DFT calculation with GGA-PBE was carried out for a relaxed structure of Ba3MgTl2.

DOS at the Fermi energy: 5.5 states/eV/f.u.
Formation enthalpy at 0 K: -0.2890 eV per atom
ρ: 5.84 Mg/m³
Crystal system: orthorhombic
Total magnetic moment: 0.000 Bohr magnetons per cell
DFT total energy: -2.3049 eV/atom

Geometry as POSCAR:
```
Ba3MgTl2
1.0
-0.973 -4.097 -0.954
5.783 -0.992 -1.638
-0.888 -1.974 9.384
Ba Mg Tl
3 1 2
Direct
0.500 0.500 0.000 Ba
0.500 0.829 0.659 Ba
0.500 0.171 0.341 Ba
0.000 0.000 0.000 Mg
0.000 0.338 0.677 Tl
0.000 0.662 0.323 Tl
```

=====

Record 6
A plane-wave DFT calculation with GGA-PBE was carried out for a relaxed structure of TlPbCl3.

DOS at the Fermi energy: 0.0 states/eV/f.u.
Uncorrected formation energy: -1.106 eV/atom
ρ: 5.02 Mg/m³
Crystal system: monoclinic
Total magnetic moment: 0.000 Bohr magnetons per cell
DFT total energy: -3.4287 eV/atom

Geometry as POSCAR:
```
TlPbCl3
1.0
7.560 0.000 0.000
0.000 9.000 0.150
0.000 -1.242 10.056
Tl Pb Cl
4 4 12
Direct
0.735 0.607 0.158 Tl
0.265 0.393 0.842 Tl
0.235 0.393 0.342 Tl
0.765 0.607 0.658 Tl
0.263 0.903 0.577 Pb
0.737 0.097 0.423 Pb
0.763 0.097 0.923 Pb
0.237 0.903 0.077 Pb
0.055 0.907 0.326 Cl
0.945 0.093 0.674 Cl
0.555 0.093 0.174 Cl
0.445 0.907 0.826 Cl
0.573 0.799 0.441 Cl
0.427 0.201 0.559 Cl
0.073 0.201 0.059 Cl
0.927 0.799 0.941 Cl
0.174 0.603 0.610 Cl
0.826 0.397 0.390 Cl
0.674 0.397 0.890 Cl
0.326 0.603 0.110 Cl
```

=====

Record 7
A plane-wave DFT calculation with GGA-PBE was carried out for a relaxed structure of Li2TbDyAu4.

DOS at the Fermi energy: 4.6 states/eV/f.u.
Formation enthalpy at 0 K: -0.7129 eV per atom
ρ: 11.44 Mg/m³
Crystal system: trigonal
Total magnetic moment: 0.000 Bohr magnetons per cell
DFT total energy: -3.9841 eV/atom

Geometry as POSCAR:
```
Li2TbDyAu4
1.0
-0.087 4.380 -2.243
1.768 0.460 -4.570
-6.474 -0.004 -5.156
Li Tb Dy Au
2 1 1 4
Direct
0.750 0.750 0.750 Li
0.250 0.250 0.250 Li
0.000 0.000 0.000 Tb
0.500 0.500 0.500 Dy
0.372 0.372 0.883 Au
0.871 0.871 0.386 Au
0.129 0.129 0.614 Au
0.628 0.628 0.117 Au
```

=====

Record 8
A plane-wave DFT calculation with GGA-PBE was carried out for a relaxed structure of CuIr2Se.

DOS at the Fermi energy: 2.8 states/eV/f.u.
Uncorrected formation energy: 0.361 eV/atom
ρ: 15.06 Mg/m³
Crystal system: tetragonal
Total magnetic moment: 0.000 Bohr magnetons per cell
DFT total energy: -5.9645 eV/atom

Geometry as POSCAR:
```
CuIr2Se
1.0
-1.023 0.172 -2.948
0.123 -3.114 -0.225
-5.616 -0.361 1.927
Cu Ir Se
1 2 1
Direct
0.500 0.500 0.750 Cu
0.000 0.000 0.988 Ir
0.000 0.000 0.512 Ir
0.500 0.500 0.250 Se
```

=====

Record 9
A plane-wave DFT calculation with GGA-PBE was carried out for a relaxed structure of CsPaNb2S8.

Uncorrected formation energy: -1.048 eV/atom
ρ: 3.59 Mg/m³
Crystal system: trigonal
Total magnetic moment: 0.000 Bohr magnetons per cell
DFT total energy: -6.3404 eV/atom

Geometry as POSCAR:
```
CsPaNb2S8
1.0
6.655 0.000 0.000
3.327 5.763 0.000
3.327 1.921 9.726
Cs Pa Nb S
1 1 2 8
Direct
0.500 0.500 0.500 Cs
0.000 0.000 0.000 Pa
0.259 0.259 0.224 Nb
0.741 0.741 0.776 Nb
0.183 0.183 0.450 S
0.623 0.269 0.160 S
0.817 0.817 0.550 S
0.948 0.623 0.160 S
0.052 0.377 0.840 S
0.269 0.948 0.160 S
0.731 0.052 0.840 S
0.377 0.731 0.840 S
```

=====

Record 10
A plane-wave DFT calculation with GGA-PBE was carried out for a relaxed structure of FeTcSe2.

DOS at the Fermi energy: 5.0 states/eV/f.u.
Uncorrected formation energy: 0.154 eV/atom
ρ: 8.27 Mg/m³
Crystal system: trigonal
Total magnetic moment: 2.012 Bohr magnetons per cell
E above lowest polymorph: 387 meV per atom
DFT total energy: -6.2959 eV/atom

Geometry as POSCAR:
```
FeTcSe2
1.0
7.566 -0.030 -0.018
6.928 3.041 -0.018
6.928 1.439 2.679
Fe Se Tc
1 2 1
Direct
0.750 0.750 0.750 Fe
0.001 0.001 0.001 Se
0.499 0.499 0.499 Se
0.250 0.250 0.250 Tc
```

=====

Question: Which of these has the highest total magnetic moment?
Answer: FeTcSe2

=====

Copy entry 7 word for word.
A plane-wave DFT calculation with GGA-PBE was carried out for a relaxed structure of Li2TbDyAu4.

DOS at the Fermi energy: 4.6 states/eV/f.u.
Formation enthalpy at 0 K: -0.7129 eV per atom
ρ: 11.44 Mg/m³
Crystal system: trigonal
Total magnetic moment: 0.000 Bohr magnetons per cell
DFT total energy: -3.9841 eV/atom

Geometry as POSCAR:
```
Li2TbDyAu4
1.0
-0.087 4.380 -2.243
1.768 0.460 -4.570
-6.474 -0.004 -5.156
Li Tb Dy Au
2 1 1 4
Direct
0.750 0.750 0.750 Li
0.250 0.250 0.250 Li
0.000 0.000 0.000 Tb
0.500 0.500 0.500 Dy
0.372 0.372 0.883 Au
0.871 0.871 0.386 Au
0.129 0.129 0.614 Au
0.628 0.628 0.117 Au
```